Record 1
A plane-wave DFT calculation with PBE was carried out for a relaxed AcNd4Dy2Ho crystal.

Unit cell a=6.0029 b=6.0172 c=7.7420 alpha=90.00 beta=90.00 gamma=90.00
Last column: nearest neighbours and their distance in Å.
Fractional positions:
Ac 0.0000 0.0000 0.0000  8 Nd 3.66, 2 Dy 3.87
Nd 0.0000 0.5000 0.2692  2 Ho 3.49, 4 Dy 3.50-3.65, 1 Nd 3.57, 2 Ac 3.66
Nd 0.0000 0.5000 0.7308  2 Ho 3.49, 4 Dy 3.50-3.65, 1 Nd 3.57, 2 Ac 3.66
Nd 0.5000 0.0000 0.2697  4 Dy 3.49-3.66, 2 Ho 3.50, 1 Nd 3.57, 2 Ac 3.66
Nd 0.5000 0.0000 0.7303  4 Dy 3.49-3.66, 2 Ho 3.50, 1 Nd 3.57, 2 Ac 3.66
Dy 0.0000 0.0000 0.5000  8 Nd 3.49-3.50, 2 Ac 3.87
Dy 0.5000 0.5000 0.0000  8 Nd 3.65-3.66, 2 Ho 3.87
Ho 0.5000 0.5000 0.5000  8 Nd 3.49-3.50, 2 Dy 3.87

Values from the calculation:
* energy of formation from the pure elements: 121 meV per atom
* size of the total moment: 0.0 μB per formula unit

Record 2
A plane-wave DFT calculation with PBE was carried out for a relaxed AcNd2Dy4Ho crystal.

Unit cell a=9.6485 b=9.6485 c=9.6485 alpha=137.92 beta=103.30 gamma=91.59
Last column: nearest neighbours and their distance in Å.
Fractional positions:
Ac 0.0000 0.0000 0.0000  2 Nd 3.46, 6 Dy 3.47-3.50
Ac 0.5000 0.0000 0.5000  2 Nd 3.46, 6 Dy 3.47-3.50
Nd 0.0000 0.5000 0.5000  6 Dy 3.26-3.42, 2 Ac 3.46
Nd 0.5000 0.0000 0.0000  6 Dy 3.44-3.52, 2 Nd 3.46
Nd 0.5000 0.5000 0.0000  6 Dy 3.26-3.42, 2 Ac 3.46
Nd 0.5000 0.5000 0.5000  6 Dy 3.44-3.52, 2 Nd 3.46
Dy 0.2366 0.7419 0.4946  3 Nd 3.26-3.52, 2 Ho 3.40, 2 Dy 3.47, 1 Ac 3.47
Dy 0.2444 0.2568 0.5124  1 Ho 3.29, 2 Dy 3.29-3.64, 3 Nd 3.42-3.44, 2 Ac 3.50
Dy 0.2444 0.7320 0.9876  1 Ho 3.29, 2 Dy 3.29-3.64, 3 Nd 3.42-3.44, 2 Ac 3.50
Dy 0.2527 0.2581 0.9946  3 Nd 3.26-3.52, 2 Ho 3.40, 2 Dy 3.47, 1 Ac 3.47
Dy 0.7473 0.7419 0.0054  3 Nd 3.26-3.52, 2 Ho 3.40, 2 Dy 3.47, 1 Ac 3.47
Dy 0.7556 0.2680 0.0124  1 Ho 3.29, 2 Dy 3.29-3.64, 3 Nd 3.42-3.44, 2 Ac 3.50
Dy 0.7556 0.7432 0.4876  1 Ho 3.29, 2 Dy 3.29-3.64, 3 Nd 3.42-3.44, 2 Ac 3.50
Dy 0.7634 0.2581 0.5054  3 Nd 3.26-3.52, 2 Ho 3.40, 2 Dy 3.47, 1 Ac 3.47
Ho 0.0000 0.0000 0.5000  6 Dy 3.29-3.40, 2 Ho 3.46
Ho 0.0000 0.5000 0.0000  6 Dy 3.29-3.40, 2 Ho 3.46

Values from the calculation:
* energy of formation from the pure elements: 425 meV per atom
* size of the total moment: 1.2 μB per formula unit

Record 3
A plane-wave DFT calculation with PBE was carried out for a relaxed AcNdDy5Ho2 crystal.

Unit cell a=9.9111 b=9.9111 c=9.9111 alpha=126.34 beta=126.34 gamma=79.33
Last column: nearest neighbours and their distance in Å.
Fractional positions:
Ac 0.2500 0.2500 0.0000  10 Dy 3.74-3.81
Ac 0.7500 0.7500 0.0000  10 Dy 3.74-3.81
Nd 0.2500 0.7500 0.5000  4 Dy 3.16
Nd 0.7500 0.2500 0.5000  4 Dy 3.16
Dy 0.0000 0.0000 0.0000  4 Ho 3.60, 8 Dy 3.75, 2 Ac 3.81
Dy 0.0741 0.5741 0.8994  1 Ho 3.03, 1 Nd 3.16
Dy 0.1747 0.0741 0.5000  1 Ho 3.03, 1 Nd 3.16
Dy 0.3253 0.8253 0.8994  1 Ho 3.03, 1 Nd 3.16
Dy 0.4259 0.3253 0.5000  1 Ho 3.03, 1 Nd 3.16
Dy 0.5000 0.5000 0.0000  4 Ho 3.60, 8 Dy 3.75, 2 Ac 3.81
Dy 0.5741 0.6747 0.5000  1 Ho 3.03, 1 Nd 3.16
Dy 0.6747 0.1747 0.1006  1 Ho 3.03, 1 Nd 3.16
Dy 0.8253 0.9259 0.5000  1 Ho 3.03, 1 Nd 3.16
Dy 0.9259 0.4259 0.1006  1 Ho 3.03, 1 Nd 3.16
Ho 0.1144 0.3856 0.5000  1 Ho 2.89, 2 Dy 3.03
Ho 0.3856 0.8856 0.2712  1 Ho 2.89, 2 Dy 3.03
Ho 0.6144 0.1144 0.7288  1 Ho 2.89, 2 Dy 3.03
Ho 0.8856 0.6144 0.5000  1 Ho 2.89, 2 Dy 3.03

Values from the calculation:
* energy of formation from the pure elements: 272 meV per atom
* size of the total moment: 0.0 μB per formula unit

Record 4
A plane-wave DFT calculation with PBE was carried out for a relaxed Ac2Nd5DyHo crystal.

Unit cell a=10.7852 b=10.7852 c=10.9596 alpha=90.00 beta=90.00 gamma=148.63
Last column: nearest neighbours and their distance in Å.
Fractional positions:
Ac 0.1127 0.8873 0.5000  1 Ho 3.56, 9 Nd 3.60-3.96, 2 Dy 3.90
Ac 0.1169 0.8831 0.0823  8 Nd 3.41-3.68
Ac 0.8831 0.1169 0.5823  8 Nd 3.41-3.68
Ac 0.8873 0.1127 0.0000  1 Ho 3.56, 9 Nd 3.60-3.96, 2 Dy 3.90
Nd 0.0188 0.9812 0.7864  2 Dy 3.35, 3 Ac 3.60-3.70
Nd 0.2809 0.7191 0.0769  1 Dy 3.13, 1 Ac 3.41
Nd 0.2941 0.7059 0.4671  1 Dy 3.47, 2 Nd 3.52, 3 Ho 3.60-3.85, 3 Ac 3.68-3.78
Nd 0.3859 0.6141 0.7866  6 Nd 3.64-4.01, 4 Ac 3.68-3.74, 1 Ho 3.77
Nd 0.4838 0.5162 0.5091  2 Dy 3.35-3.41, 2 Nd 3.64-3.66, 2 Ac 3.68
Nd 0.5162 0.4838 0.0091  2 Dy 3.35-3.41, 2 Nd 3.64-3.66, 2 Ac 3.68
Nd 0.6141 0.3859 0.2866  6 Nd 3.64-4.01, 4 Ac 3.68-3.74, 1 Ho 3.77
Nd 0.7059 0.2941 0.9671  1 Dy 3.47, 2 Nd 3.52, 3 Ho 3.60-3.85, 3 Ac 3.68-3.78
Nd 0.7191 0.2809 0.5769  1 Dy 3.13, 1 Ac 3.41
Nd 0.9812 0.0188 0.2864  2 Dy 3.35, 3 Ac 3.60-3.70
Dy 0.4068 0.5932 0.2339  6 Nd 3.13-3.47
Dy 0.5932 0.4068 0.7339  6 Nd 3.13-3.47
Ho 0.2044 0.7956 0.7750  2 Ac 3.56-3.83, 8 Nd 3.60-3.86, 2 Dy 3.75
Ho 0.7956 0.2044 0.2750  2 Ac 3.56-3.83, 8 Nd 3.60-3.86, 2 Dy 3.75

Values from the calculation:
* energy of formation from the pure elements: 134 meV per atom
* size of the total moment: 0.0 μB per formula unit

Record 5
A plane-wave DFT calculation with PBE was carried out for a relaxed AcPmDy3Ho crystal.

Unit cell a=10.2386 b=10.2386 c=7.5075 alpha=90.86 beta=90.86 gamma=32.28
Last column: nearest neighbours and their distance in Å.
Fractional positions:
Ac 0.1415 0.1415 0.0238  1 Ho 3.25, 4 Dy 3.30-3.63
Ac 0.8585 0.8585 0.9762  1 Ho 3.25, 4 Dy 3.30-3.63
Pm 0.4491 0.4491 0.7097  3 Dy 3.19-3.33
Pm 0.5509 0.5509 0.2903  3 Dy 3.19-3.33
Dy 0.0229 0.0229 0.7085  2 Pm 3.19, 1 Ho 3.21, 1 Dy 3.24, 1 Ac 3.30
Dy 0.2807 0.2807 0.7516  3 Ho 3.32-3.50, 1 Pm 3.33, 3 Ac 3.44-3.63, 3 Dy 3.64-3.67
Dy 0.3340 0.3340 0.2859  3 Ho 3.45-3.80, 3 Dy 3.64-3.67, 2 Ac 3.71
Dy 0.6660 0.6660 0.7141  3 Ho 3.45-3.80, 3 Dy 3.64-3.67, 2 Ac 3.71
Dy 0.7193 0.7193 0.2484  3 Ho 3.32-3.50, 1 Pm 3.33, 3 Ac 3.44-3.63, 3 Dy 3.64-3.67
Dy 0.9771 0.9771 0.2915  2 Pm 3.19, 1 Ho 3.21, 1 Dy 3.24, 1 Ac 3.30
Ho 0.1532 0.1532 0.4555  6 Dy 3.21-3.50, 1 Ac 3.25
Ho 0.8468 0.8468 0.5445  6 Dy 3.21-3.50, 1 Ac 3.25

Values from the calculation:
* energy of formation from the pure elements: 231 meV per atom
* size of the total moment: 0.0 μB per formula unit

Record 6
A plane-wave DFT calculation with PBE was carried out for a relaxed AcPm4Dy2Ho crystal.

Unit cell a=5.9761 b=5.9887 c=7.7180 alpha=90.00 beta=90.00 gamma=90.00
Last column: nearest neighbours and their distance in Å.
Fractional positions:
Ac 0.0000 0.0000 0.0000  8 Pm 3.64, 2 Dy 3.86
Pm 0.0000 0.5000 0.2691  2 Ho 3.48, 4 Dy 3.48-3.64, 1 Pm 3.56, 2 Ac 3.64
Pm 0.0000 0.5000 0.7309  2 Ho 3.48, 4 Dy 3.48-3.64, 1 Pm 3.56, 2 Ac 3.64
Pm 0.5000 0.0000 0.2698  4 Dy 3.48-3.65, 2 Ho 3.48, 1 Pm 3.55, 2 Ac 3.64
Pm 0.5000 0.0000 0.7302  4 Dy 3.48-3.65, 2 Ho 3.48, 1 Pm 3.55, 2 Ac 3.64
Dy 0.0000 0.0000 0.5000  8 Pm 3.48, 2 Ac 3.86
Dy 0.5000 0.5000 0.0000  8 Pm 3.64-3.65, 2 Ho 3.86
Ho 0.5000 0.5000 0.5000  8 Pm 3.48, 2 Dy 3.86

Values from the calculation:
* energy of formation from the pure elements: 127 meV per atom
* size of the total moment: 0.0 μB per formula unit

Record 7
A plane-wave DFT calculation with PBE was carried out for a relaxed AcPm6Dy2Ho3 crystal.

Unit cell a=6.2906 b=6.2906 c=12.0065 alpha=95.02 beta=95.02 gamma=120.00
Last column: nearest neighbours and their distance in Å.
Fractional positions:
Ac 0.0000 0.0000 0.0000  6 Dy 3.63, 6 Pm 3.68-3.69
Pm 0.0848 0.4213 0.2549  3 Ho 3.56-3.58, 6 Pm 3.61-3.67, 2 Dy 3.67, 1 Ac 3.68
Pm 0.2512 0.2512 0.7447  3 Ho 3.56-3.58, 6 Pm 3.61-3.66, 2 Dy 3.67, 1 Ac 3.69
Pm 0.4213 0.0848 0.2549  3 Ho 3.56-3.58, 6 Pm 3.61-3.67, 2 Dy 3.67, 1 Ac 3.68
Pm 0.5787 0.9152 0.7451  3 Ho 3.56-3.58, 6 Pm 3.61-3.67, 2 Dy 3.67, 1 Ac 3.68
Pm 0.7488 0.7488 0.2553  3 Ho 3.56-3.58, 6 Pm 3.61-3.66, 2 Dy 3.67, 1 Ac 3.69
Pm 0.9152 0.5787 0.7451  3 Ho 3.56-3.58, 6 Pm 3.61-3.67, 2 Dy 3.67, 1 Ac 3.68
Dy 0.3334 0.6666 0.0000  3 Dy 3.63, 3 Ac 3.63, 6 Pm 3.67
Dy 0.6666 0.3334 0.0000  3 Dy 3.63, 3 Ac 3.63, 6 Pm 3.67
Ho 0.1672 0.8328 0.5000  6 Pm 3.56-3.58, 6 Ho 3.63-3.64
Ho 0.5000 0.5000 0.5000  6 Pm 3.56-3.58, 6 Ho 3.63
Ho 0.8328 0.1672 0.5000  6 Pm 3.56-3.58, 6 Ho 3.63-3.64

Values from the calculation:
* energy of formation from the pure elements: 28 meV per atom
* size of the total moment: 0.0 μB per formula unit

Record 8
A plane-wave DFT calculation with PBE was carried out for a relaxed AcPm6Dy3Ho2 crystal.

Unit cell a=6.2911 b=6.2911 c=12.0211 alpha=95.01 beta=95.01 gamma=119.99
Last column: nearest neighbours and their distance in Å.
Fractional positions:
Ac 0.0000 0.0000 0.0000  6 Ho 3.63, 6 Pm 3.68
Pm 0.0849 0.4216 0.2542  3 Dy 3.57-3.59, 6 Pm 3.61-3.67, 2 Ho 3.66, 1 Ac 3.68
Pm 0.2514 0.2514 0.7454  3 Dy 3.57-3.59, 6 Pm 3.61-3.67, 2 Ho 3.66, 1 Ac 3.68
Pm 0.4216 0.0849 0.2542  3 Dy 3.57-3.59, 6 Pm 3.61-3.67, 2 Ho 3.66, 1 Ac 3.68
Pm 0.5784 0.9151 0.7458  3 Dy 3.57-3.59, 6 Pm 3.61-3.67, 2 Ho 3.66, 1 Ac 3.68
Pm 0.7486 0.7486 0.2546  3 Dy 3.57-3.59, 6 Pm 3.61-3.67, 2 Ho 3.66, 1 Ac 3.68
Pm 0.9151 0.5784 0.7458  3 Dy 3.57-3.59, 6 Pm 3.61-3.67, 2 Ho 3.66, 1 Ac 3.68
Dy 0.1672 0.8328 0.5000  6 Pm 3.57-3.59, 6 Dy 3.63-3.64
Dy 0.5000 0.5000 0.5000  6 Pm 3.57-3.59, 6 Dy 3.63-3.64
Dy 0.8328 0.1672 0.5000  6 Pm 3.57-3.59, 6 Dy 3.63-3.64
Ho 0.3335 0.6665 0.0000  3 Ho 3.63, 3 Ac 3.63, 6 Pm 3.66
Ho 0.6665 0.3335 0.0000  3 Ho 3.63, 3 Ac 3.63, 6 Pm 3.66

Values from the calculation:
* energy of formation from the pure elements: 27 meV per atom
* size of the total moment: 0.0 μB per formula unit

Record 9
A plane-wave DFT calculation with PBE was carried out for a relaxed AcPm2Dy5Ho crystal.

Unit cell a=9.9724 b=9.9724 c=9.9724 alpha=127.23 beta=127.23 gamma=77.87
Last column: nearest neighbours and their distance in Å.
Fractional positions:
Ac 0.2500 0.2500 0.0000  10 Dy 3.67-3.88
Ac 0.7500 0.7500 0.0000  10 Dy 3.67-3.88
Pm 0.1161 0.6161 0.7322  1 Pm 2.91, 2 Dy 3.03
Pm 0.3839 0.1161 0.5000  1 Pm 2.91, 2 Dy 3.03
Pm 0.6161 0.8839 0.5000  1 Pm 2.91, 2 Dy 3.03
Pm 0.8839 0.3839 0.2678  1 Pm 2.91, 2 Dy 3.03
Dy 0.0000 0.0000 0.0000  4 Pm 3.55, 8 Dy 3.79, 2 Ac 3.88
Dy 0.0739 0.1615 0.5000  1 Pm 3.03, 1 Ho 3.16
Dy 0.1615 0.6615 0.0876  1 Pm 3.03, 1 Ho 3.16
Dy 0.3385 0.4261 0.5000  1 Pm 3.03, 1 Ho 3.16
Dy 0.4261 0.9261 0.0876  1 Pm 3.03, 1 Ho 3.16
Dy 0.5000 0.5000 0.0000  4 Pm 3.55, 8 Dy 3.79, 2 Ac 3.88
Dy 0.5739 0.0739 0.9124  1 Pm 3.03, 1 Ho 3.16
Dy 0.6615 0.5739 0.5000  1 Pm 3.03, 1 Ho 3.16
Dy 0.8385 0.3385 0.9124  1 Pm 3.03, 1 Ho 3.16
Dy 0.9261 0.8385 0.5000  1 Pm 3.03, 1 Ho 3.16
Ho 0.2500 0.7500 0.5000  4 Dy 3.16
Ho 0.7500 0.2500 0.5000  4 Dy 3.16

Values from the calculation:
* energy of formation from the pure elements: 262 meV per atom
* size of the total moment: 0.0 μB per formula unit

Record 10
A plane-wave DFT calculation with PBE was carried out for a relaxed AcPm2Dy4Ho crystal.

Unit cell a=9.6316 b=9.6316 c=6.9224 alpha=111.05 beta=111.05 gamma=88.48
Last column: nearest neighbours and their distance in Å.
Fractional positions:
Ac 0.0000 0.5000 0.0000  2 Pm 3.46, 6 Dy 3.47-3.50
Ac 0.5000 0.0000 0.5000  2 Pm 3.46, 6 Dy 3.47-3.50
Pm 0.0000 0.0000 0.0000  6 Dy 3.42-3.50, 2 Pm 3.46
Pm 0.0000 0.0000 0.5000  6 Dy 3.42-3.50, 2 Pm 3.46
Pm 0.0000 0.5000 0.5000  6 Dy 3.25-3.41, 2 Ac 3.46
Pm 0.5000 0.0000 0.0000  6 Dy 3.25-3.41, 2 Ac 3.46
Dy 0.2460 0.2626 0.5057  3 Pm 3.25-3.50, 2 Ho 3.40-3.41, 2 Dy 3.47, 1 Ac 3.47
Dy 0.2545 0.7454 0.5124  2 Dy 3.29-3.63, 1 Ho 3.30, 3 Pm 3.41-3.42, 2 Ac 3.49-3.50
Dy 0.2546 0.7455 0.9876  2 Dy 3.29-3.63, 1 Ho 3.30, 3 Pm 3.41-3.42, 2 Ac 3.49-3.50
Dy 0.2626 0.2460 0.0057  3 Pm 3.25-3.50, 2 Ho 3.40-3.41, 2 Dy 3.47, 1 Ac 3.47
Dy 0.7374 0.7540 0.9943  3 Pm 3.25-3.50, 2 Ho 3.40-3.41, 2 Dy 3.47, 1 Ac 3.47
Dy 0.7454 0.2545 0.0124  2 Dy 3.29-3.63, 1 Ho 3.30, 3 Pm 3.41-3.42, 2 Ac 3.49-3.50
Dy 0.7455 0.2546 0.4876  2 Dy 3.29-3.63, 1 Ho 3.30, 3 Pm 3.41-3.42, 2 Ac 3.49-3.50
Dy 0.7540 0.7374 0.4943  3 Pm 3.25-3.50, 2 Ho 3.40-3.41, 2 Dy 3.47, 1 Ac 3.47
Ho 0.5000 0.5000 0.0000  6 Dy 3.30-3.41, 2 Ho 3.46
Ho 0.5000 0.5000 0.5000  6 Dy 3.30-3.41, 2 Ho 3.46

Values from the calculation:
* energy of formation from the pure elements: 431 meV per atom
* size of the total moment: 1.7 μB per formula unit

Record 11
A plane-wave DFT calculation with PBE was carried out for a relaxed AcPm2DyHo4 crystal.

Unit cell a=7.2303 b=7.2303 c=12.4441 alpha=106.80 beta=106.80 gamma=60.11
Last column: nearest neighbours and their distance in Å.
Fractional positions:
Ac 0.0000 0.0000 0.0000  6 Pm 3.62, 6 Ho 3.62-3.63
Ac 0.0000 0.0000 0.5000  6 Ho 3.60-3.61, 4 Dy 3.62, 2 Pm 3.62
Pm 0.0000 0.5000 0.0000  6 Ho 3.60-3.62, 2 Ac 3.62, 4 Pm 3.62
Pm 0.5000 0.0000 0.0000  6 Ho 3.60-3.62, 2 Ac 3.62, 4 Pm 3.62
Pm 0.5000 0.5000 0.0000  6 Ho 3.59-3.60, 4 Pm 3.62, 2 Ac 3.62
Pm 0.5000 0.5000 0.5000  6 Ho 3.57-3.58, 4 Dy 3.62, 2 Ac 3.62
Dy 0.0000 0.5000 0.5000  6 Ho 3.58-3.60, 2 Ac 3.62, 2 Pm 3.62, 2 Dy 3.62
Dy 0.5000 0.0000 0.5000  6 Ho 3.58-3.60, 2 Ac 3.62, 2 Pm 3.62, 2 Dy 3.62
Ho 0.2514 0.2514 0.7504  3 Pm 3.59-3.60, 6 Ho 3.59-3.64, 2 Dy 3.60, 1 Ac 3.61
Ho 0.2515 0.2515 0.2528  3 Pm 3.57-3.62, 2 Dy 3.58, 6 Ho 3.60-3.63, 1 Ac 3.63
Ho 0.2529 0.7462 0.7489  6 Ho 3.57-3.67, 3 Pm 3.58-3.61, 1 Dy 3.59, 2 Ac 3.60-3.62
Ho 0.2538 0.7471 0.2511  6 Ho 3.57-3.67, 3 Pm 3.58-3.61, 1 Dy 3.59, 2 Ac 3.60-3.62
Ho 0.7462 0.2529 0.7489  6 Ho 3.57-3.67, 3 Pm 3.58-3.61, 1 Dy 3.59, 2 Ac 3.60-3.62
Ho 0.7471 0.2538 0.2511  6 Ho 3.57-3.67, 3 Pm 3.58-3.61, 1 Dy 3.59, 2 Ac 3.60-3.62
Ho 0.7485 0.7485 0.7472  3 Pm 3.57-3.62, 2 Dy 3.58, 6 Ho 3.60-3.63, 1 Ac 3.63
Ho 0.7486 0.7486 0.2496  3 Pm 3.59-3.60, 6 Ho 3.59-3.64, 2 Dy 3.60, 1 Ac 3.61

Values from the calculation:
* energy of formation from the pure elements: 31 meV per atom
* size of the total moment: 0.0 μB per formula unit

Record 12
A plane-wave DFT calculation with PBE was carried out for a relaxed AcPmDy2Ho crystal.

Unit cell a=9.3335 b=9.3335 c=6.4407 alpha=90.00 beta=90.00 gamma=139.11
Last column: nearest neighbours and their distance in Å.
Fractional positions:
Ac 0.1589 0.8411 0.7500  1 Pm 3.30, 2 Ho 3.51, 4 Dy 3.62
Ac 0.8411 0.1589 0.2500  1 Pm 3.30, 2 Ho 3.51, 4 Dy 3.62
Pm 0.3474 0.6526 0.7500  1 Ac 3.30, 4 Dy 3.50, 2 Ho 3.51
Pm 0.6526 0.3474 0.2500  1 Ac 3.30, 4 Dy 3.50, 2 Ho 3.51
Dy 0.2545 0.2545 0.0000  4 Dy 3.20-3.32, 2 Pm 3.50
Dy 0.2545 0.2545 0.5000  4 Dy 3.20-3.32, 2 Pm 3.50
Dy 0.7455 0.7455 0.0000  4 Dy 3.20-3.32, 2 Pm 3.50
Dy 0.7455 0.7455 0.5000  4 Dy 3.20-3.32, 2 Pm 3.50
Ho 0.2673 0.7327 0.2500  4 Ac 3.51-3.74, 4 Pm 3.51-3.83
Ho 0.7327 0.2673 0.7500  4 Ac 3.51-3.74, 4 Pm 3.51-3.83

Values from the calculation:
* energy of formation from the pure elements: 387 meV per atom
* size of the total moment: 0.0 μB per formula unit

Which value of size of the total moment does entry 1 give? 0.0 μB per formula unit